1.
Compound: MoPd12
Source: OQMD via LeMat-Bulk
Functional: GGA-PBE
Structure: optimized geometry

V = 204.9 Å³ per cell
Final energy = -5.612 eV per atom
Energy of formation = -0.3 meV per atom

```
MoPd12
1.0
-3.714 3.714 3.714
3.714 -3.714 3.714
3.714 3.714 -3.714
Mo Pd
1 12
Direct
0.000 0.000 0.000
0.123 0.816 0.307
0.184 0.307 0.491
0.184 0.693 0.877
0.307 0.123 0.816
0.307 0.491 0.184
0.491 0.184 0.307
0.509 0.816 0.693
0.693 0.509 0.816
0.693 0.877 0.184
0.816 0.307 0.123
0.816 0.693 0.509
0.877 0.184 0.693
```

***

2.
Compound: LiPu
Source: OQMD via LeMat-Bulk
Functional: GGA-PBE
Structure: optimized geometry

V = 256.5 Å³ per cell
Final energy = -6.674 eV per atom
Offset from the most stable computed form = 104.7 kJ/mol of atoms

```
LiPu
1.0
6.353 0.000 0.000
0.000 6.353 0.000
0.000 0.000 6.353
Li Pu
4 4
Direct
0.000 0.000 0.000
0.000 0.500 0.500
0.500 0.000 0.500
0.500 0.500 0.000
0.250 0.250 0.750
0.250 0.750 0.250
0.750 0.250 0.250
0.750 0.750 0.750
```